(1)
Density functional theory data (PBE) for a geometry-optimized Ce2YZn8 structure.

a b c (Å): 7.8261 14.5864 4.8470
angles (deg): 90.00 128.24 90.00
Space group C2/m (No. 12)
Symmetry-distinct sites (fractional):
Ce: 0.0000 0.1929 0.0000 x4
Y: 0.0000 0.5000 0.5000 x2
Zn: 0.0000 0.3026 0.5000 x4
Zn: 0.0009 0.0000 0.7490 x4
Zn: 0.2193 0.3827 0.2199 x8

Output
magnetic moment: 0.0584 μB per atom
energy relative to the elements: -0.249 eV/atom
VASP energy: -2.84 eV per atom

(2)
Density functional theory data (PBE) for a geometry-optimized Y2CuTe structure.

a b c (Å): 4.1915 4.1915 21.3119
angles (deg): 90.00 90.00 120.00
Space group R3m (No. 160, hexagonal axes)
Symmetry-distinct sites (fractional):
Y: 0.0000 0.0000 0.0000 x3
Y: 0.0000 0.0000 0.1905 x3
Cu: 0.0000 0.0000 0.5961 x3
Te: 0.0000 0.0000 0.7626 x3

Output
formation energy from raw total energies: -0.70 eV/atom
magnetic moment: 0.0000 μB per atom
VASP energy: -5.74 eV per atom